First-principles (PBE-GGA) data for a relaxed structure of Pm5TeRu2, as listed in Alexandria via LeMat-Bulk.

space-group type	I4/mcm (140)
ΔE_f (raw)	-4.11	eV/f.u.

Lattice parameters (Å, degrees): 8.8309 8.8309 8.8309 126.07 126.07 79.78
Element x y z (fractional)
Pm (0.0000, 0.0000, 0.0000)
Pm (0.0210, 0.5210, 0.8096)
Pm (0.2113, 0.0210, 0.5000)
Pm (0.2887, 0.7887, 0.8096)
Pm (0.4790, 0.2887, 0.5000)
Pm (0.5000, 0.5000, 0.0000)
Pm (0.5210, 0.7113, 0.5000)
Pm (0.7113, 0.2113, 0.1904)
Pm (0.7887, 0.9790, 0.5000)
Pm (0.9790, 0.4790, 0.1904)
Te (0.2500, 0.2500, 0.0000)
Te (0.7500, 0.7500, 0.0000)
Ru (0.1419, 0.3581, 0.5000)
Ru (0.3581, 0.8581, 0.2162)
Ru (0.6419, 0.1419, 0.7838)
Ru (0.8581, 0.6419, 0.5000)